Nb3AuCl (GGA-PBE, optimized geometry); ΔE_f (raw) = 2.926 eV per formula unit; distance to the lowest polymorph of the same formula = 0 meV/atom; E = -6.4814 eV/atom; space group = Pm-3m
1.0
4.552 0.000 0.000
0.000 4.552 0.000
0.000 0.000 4.552
Nb Au Cl
3 1 1
direct
0.000 0.000 0.500 Nb
0.000 0.500 0.000 Nb
0.500 0.000 0.000 Nb
0.500 0.500 0.500 Au
0.000 0.000 0.000 Cl


Sr3Ca4Tl4 (GGA-PBE, optimized geometry); energy relative to the elements = -303 meV/atom; E = -2.3499 eV/atom; space group = Immm
1.0
-2.731 4.127 8.822
2.731 -4.127 8.822
2.731 4.127 -8.822
Sr Ca Tl
3 4 4
direct
0.000 0.000 0.000 Sr
0.386 0.886 0.500 Sr
0.614 0.114 0.500 Sr
0.037 0.323 0.713 Ca
0.390 0.677 0.713 Ca
0.610 0.323 0.287 Ca
0.963 0.677 0.287 Ca
0.200 0.200 0.000 Tl
0.318 0.500 0.818 Tl
0.682 0.500 0.182 Tl
0.800 0.800 0.000 Tl


Pt2RhW (GGA-PBE, optimized geometry); distance to the lowest polymorph of the same formula = 83 meV/atom; energy relative to the elements = -220 meV/atom; E = -8.3167 eV/atom; space group = Pmmm
1.0
2.765 0.000 0.000
0.000 3.999 0.000
0.000 0.000 5.506
Pt Rh W
2 1 1
direct
0.000 0.000 0.246 Pt
0.000 0.000 0.754 Pt
0.500 0.500 0.500 Rh
0.500 0.500 0.000 W


PbIBr2 (GGA-PBE, optimized geometry); ΔE_f (raw) = -0.844 eV per formula unit; distance to the lowest polymorph of the same formula = 457 meV/atom; E = -2.3622 eV/atom; space group = Fm-3m
1.0
0.000 3.966 3.966
3.966 0.000 3.966
3.966 3.966 0.000
Pb I Br
1 1 2
direct
0.000 0.000 0.000 Pb
0.500 0.500 0.500 I
0.250 0.250 0.250 Br
0.750 0.750 0.750 Br


GaAuBr (GGA-PBE, optimized geometry); ΔE_f (raw) = -0.941 eV per formula unit; E = -2.9726 eV/atom; space group = P2_1/c
1.0
6.643 0.000 0.000
0.000 6.532 0.000
-2.512 0.000 7.466
Ga Au Br
4 4 4
direct
0.036 0.154 0.147 Ga
0.036 0.346 0.647 Ga
0.964 0.654 0.353 Ga
0.964 0.846 0.853 Ga
0.200 0.705 0.682 Au
0.200 0.795 0.182 Au
0.800 0.205 0.818 Au
0.800 0.295 0.318 Au
0.356 0.115 0.665 Br
0.356 0.385 0.165 Br
0.644 0.615 0.835 Br
0.644 0.885 0.335 Br


CaAgIrCl6 (GGA-PBE, optimized geometry); ΔE_f (raw) = -9.647 eV per formula unit; E = -3.8268 eV/atom; space group = P-31c
1.0
6.594 0.000 0.000
-3.297 5.710 0.000
0.000 0.000 11.837
Ca Ag Ir Cl
2 2 2 12
direct
0.333 0.667 0.250 Ca
0.667 0.333 0.750 Ca
0.000 0.000 0.000 Ag
0.000 0.000 0.500 Ag
0.333 0.667 0.750 Ir
0.667 0.333 0.250 Ir
0.042 0.375 0.631 Cl
0.042 0.666 0.869 Cl
0.334 0.375 0.869 Cl
0.334 0.958 0.631 Cl
0.375 0.042 0.131 Cl
0.375 0.334 0.369 Cl
0.625 0.666 0.631 Cl
0.625 0.958 0.869 Cl
0.666 0.042 0.369 Cl
0.666 0.625 0.131 Cl
0.958 0.334 0.131 Cl
0.958 0.625 0.369 Cl


LaNdY2Tm (GGA-PBE, optimized geometry); energy relative to the elements = 232 meV/atom; E = -5.1870 eV/atom; space group = Pmmm
1.0
3.636 0.000 0.000
0.000 5.622 0.000
0.000 0.000 8.686
La Nd Y Tm
1 1 2 1
direct
0.000 0.000 0.000 La
0.500 0.000 0.500 Nd
0.000 0.500 0.317 Y
0.000 0.500 0.683 Y
0.500 0.500 0.000 Tm


NdY2Hg (GGA-PBE, optimized geometry); distance to the lowest polymorph of the same formula = 0 meV/atom; energy relative to the elements = -245 meV/atom; E = -4.7447 eV/atom; space group = P4/mmm
1.0
3.656 0.000 0.000
0.000 3.656 0.000
0.000 0.000 8.945
Nd Y Hg
1 2 1
direct
0.000 0.000 0.000 Nd
0.500 0.500 0.284 Y
0.500 0.500 0.716 Y
0.000 0.000 0.500 Hg


BeTe2As (GGA-PBE, optimized geometry); ΔE_f (raw) = 1.910 eV per formula unit; distance to the lowest polymorph of the same formula = 433 meV/atom; E = -3.1874 eV/atom; space group = I-4m2
1.0
-1.904 1.904 9.031
1.904 -1.904 9.031
1.904 1.904 -9.031
Be Te As
1 2 1
direct
0.000 0.000 0.000 Be
0.250 0.750 0.500 Te
0.500 0.500 0.000 Te
0.750 0.250 0.500 As


Rb2Sr4Cu (GGA-PBE, optimized geometry); energy relative to the elements = 125 meV/atom; E = -1.6981 eV/atom; space group = I4/mmm
1.0
-3.078 3.078 11.436
3.078 -3.078 11.436
3.078 3.078 -11.436
Rb Sr Cu
2 4 1
direct
0.170 0.170 0.000 Rb
0.830 0.830 0.000 Rb
0.000 0.500 0.500 Sr
0.370 0.370 0.000 Sr
0.500 0.000 0.500 Sr
0.630 0.630 0.000 Sr
0.500 0.500 0.000 Cu


PrY6Tm2Th (GGA-PBE, optimized geometry); energy relative to the elements = 147 meV/atom; E = -5.8452 eV/atom; space group = C2/c
1.0
4.674 -7.484 0.000
4.674 7.484 0.000
-0.952 0.000 9.390
Pr Y Tm Th
2 12 4 2
direct
0.090 0.910 0.750 Pr
0.910 0.090 0.250 Pr
0.019 0.793 0.389 Y
0.070 0.515 0.182 Y
0.207 0.981 0.111 Y
0.266 0.613 0.559 Y
0.387 0.734 0.941 Y
0.485 0.930 0.318 Y
0.515 0.070 0.682 Y
0.613 0.266 0.059 Y
0.734 0.387 0.441 Y
0.793 0.019 0.889 Y
0.930 0.485 0.818 Y
0.981 0.207 0.611 Y
0.203 0.303 0.945 Tm
0.303 0.203 0.445 Tm
0.697 0.797 0.555 Tm
0.797 0.697 0.055 Tm
0.466 0.534 0.250 Th
0.534 0.466 0.750 Th


Ac2TbCd12Ag3 (GGA-PBE, optimized geometry); energy relative to the elements = -29 meV/atom; E = -1.8279 eV/atom; space group = R-3m
1.0
3.574 2.064 10.986
-3.574 2.064 10.986
0.000 -4.127 10.986
Ac Tb Cd Ag
2 1 12 3
direct
0.142 0.142 0.142 Ac
0.858 0.858 0.858 Ac
0.500 0.500 0.500 Tb
0.054 0.625 0.625 Cd
0.185 0.185 0.775 Cd
0.185 0.775 0.185 Cd
0.225 0.815 0.815 Cd
0.375 0.375 0.946 Cd
0.375 0.946 0.375 Cd
0.625 0.054 0.625 Cd
0.625 0.625 0.054 Cd
0.775 0.185 0.185 Cd
0.815 0.225 0.815 Cd
0.815 0.815 0.225 Cd
0.946 0.375 0.375 Cd
0.000 0.500 0.500 Ag
0.500 0.000 0.500 Ag
0.500 0.500 0.000 Ag